No. 1
! Cs2HoUSe4 (PBE-GGA, optimized geometry); values from VASP
! Uncorrected formation energy ... -1.444 eV per atom
! Magnetic moment ... 3.0 Bohr magnetons per cell
&SYSTEM
  ibrav = 0, nat = 8, ntyp = 4
/
ATOMIC_SPECIES
Cs 132.91 Cs.upf
Ho 164.93 Ho.upf
U 238.03 U.upf
Se 78.96 Se.upf
CELL_PARAMETERS angstrom
-0.437 -3.258 -2.725
3.969 -4.313 4.519
-8.359 -0.914 2.434
ATOMIC_POSITIONS crystal
Cs 0.500 0.000 0.500
Cs 0.000 0.500 0.500
Ho 0.500 0.500 0.000
U 0.000 0.000 0.000
Se 0.500 0.232 0.187
Se 0.500 0.768 0.813
Se 0.000 0.275 0.814
Se 0.000 0.725 0.186

***

No. 2
! Hf6NiC (PBE-GGA, optimized geometry); values from VASP
! Formation energy ... -0.157 eV/atom
! Magnetic moment ... 0.0 Bohr magnetons per cell
&SYSTEM
  ibrav = 0, nat = 8, ntyp = 3
/
ATOMIC_SPECIES
Hf 178.49 Hf.upf
Ni 58.69 Ni.upf
C 12.01 C.upf
CELL_PARAMETERS angstrom
-4.434 3.538 -1.235
-1.939 0.427 -5.459
-5.569 -2.688 -1.317
ATOMIC_POSITIONS crystal
Hf 0.056 0.410 0.765
Hf 0.769 0.056 0.765
Hf 0.590 0.231 0.235
Hf 0.231 0.944 0.235
Hf 0.944 0.590 0.235
Hf 0.410 0.769 0.765
Ni 0.500 0.500 0.500
C 0.000 0.000 0.000

***

No. 3
! BePtRh2 (PBE-GGA, optimized geometry); values from VASP
! Formation energy ... -0.255 eV/atom
! Magnetic moment ... 0.0 Bohr magnetons per cell
&SYSTEM
  ibrav = 0, nat = 16, ntyp = 3
/
ATOMIC_SPECIES
Be 9.01 Be.upf
Rh 102.91 Rh.upf
Pt 195.08 Pt.upf
CELL_PARAMETERS angstrom
-5.036 1.464 -1.886
-0.279 -3.711 -2.135
-1.196 -4.466 7.921
ATOMIC_POSITIONS crystal
Be 0.755 0.000 0.434
Be 0.755 0.500 0.934
Be 0.259 0.000 0.434
Be 0.259 0.500 0.934
Rh 0.902 0.000 0.224
Rh 0.902 0.500 0.724
Rh 0.005 0.000 0.930
Rh 0.005 0.500 0.430
Rh 0.615 0.000 0.648
Rh 0.615 0.500 0.148
Rh 0.402 0.000 0.224
Rh 0.402 0.500 0.724
Pt 0.109 0.000 0.642
Pt 0.109 0.500 0.142
Pt 0.509 0.000 0.937
Pt 0.509 0.500 0.437

***

No. 4
! NdDy3Ho6Sc2 (PBE-GGA, optimized geometry); values from VASP
! Formation energy ... 0.036 eV/atom
! Magnetic moment ... 0.0 Bohr magnetons per cell
&SYSTEM
  ibrav = 0, nat = 12, ntyp = 4
/
ATOMIC_SPECIES
Nd 144.24 Nd.upf
Dy 162.50 Dy.upf
Ho 164.93 Ho.upf
Sc 44.96 Sc.upf
CELL_PARAMETERS angstrom
6.054 0.002 0.013
-3.024 5.244 0.013
-1.028 -1.780 11.420
ATOMIC_POSITIONS crystal
Nd 0.000 0.000 0.000
Dy 0.167 0.833 0.500
Dy 0.833 0.167 0.500
Dy 0.500 0.500 0.500
Ho 0.917 0.581 0.753
Ho 0.746 0.746 0.247
Ho 0.083 0.419 0.247
Ho 0.581 0.917 0.753
Ho 0.254 0.254 0.753
Ho 0.419 0.083 0.247
Sc 0.333 0.667 0.000
Sc 0.667 0.333 0.000

***

No. 5
! Ba2GaI (PBE-GGA, optimized geometry); values from VASP
! Uncorrected formation energy ... -0.843 eV per atom
! Magnetic moment ... 0.0 Bohr magnetons per cell
! ΔE to the lowest computed polymorph ... 0 meV per atom
&SYSTEM
  ibrav = 0, nat = 8, ntyp = 3
/
ATOMIC_SPECIES
Ba 137.33 Ba.upf
Ga 69.72 Ga.upf
I 126.90 I.upf
CELL_PARAMETERS angstrom
4.776 0.000 0.000
0.000 5.075 -0.901
0.000 -0.227 13.460
ATOMIC_POSITIONS crystal
Ba 0.750 0.663 0.326
Ba 0.250 0.337 0.674
Ba 0.750 0.944 0.888
Ba 0.250 0.056 0.112
Ga 0.250 0.468 0.935
Ga 0.750 0.532 0.065
I 0.250 0.195 0.391
I 0.750 0.805 0.609

***

No. 6
! LaHg2Os (PBE-GGA, optimized geometry); values from VASP
! Formation energy ... 0.329 eV/atom
! Magnetic moment ... 0.0 Bohr magnetons per cell
&SYSTEM
  ibrav = 0, nat = 4, ntyp = 3
/
ATOMIC_SPECIES
Hg 200.59 Hg.upf
La 138.91 La.upf
Os 190.23 Os.upf
CELL_PARAMETERS angstrom
-0.206 -4.311 3.235
-2.767 -3.760 -2.702
4.250 2.932 -1.561
ATOMIC_POSITIONS crystal
Hg 0.000 0.000 0.000
Hg 0.250 0.750 0.500
La 0.500 0.500 0.000
Os 0.750 0.250 0.500

***

No. 7
! H2RhI (PBE-GGA, optimized geometry); values from VASP
! Magnetic moment ... 0.0 Bohr magnetons per cell
! ΔE to the lowest computed polymorph ... 655 meV per atom
&SYSTEM
  ibrav = 0, nat = 4, ntyp = 3
/
ATOMIC_SPECIES
I 126.90 I.upf
H 1.01 H.upf
Rh 102.91 Rh.upf
CELL_PARAMETERS angstrom
0.000 2.873 2.873
2.873 0.000 2.873
2.873 2.873 0.000
ATOMIC_POSITIONS crystal
I 0.500 0.500 0.500
H 0.250 0.250 0.250
H 0.750 0.750 0.750
Rh 0.000 0.000 0.000

***

No. 8
! AlSiHg (PBE-GGA, optimized geometry); values from VASP
! Uncorrected formation energy ... 0.353 eV per atom
! Magnetic moment ... 0.0 Bohr magnetons per cell
! ΔE to the lowest computed polymorph ... 122 meV per atom
&SYSTEM
  ibrav = 0, nat = 3, ntyp = 3
/
ATOMIC_SPECIES
Si 28.09 Si.upf
Hg 200.59 Hg.upf
Al 26.98 Al.upf
CELL_PARAMETERS angstrom
-3.276 -1.115 -6.180
-0.503 -1.943 -6.739
-1.025 -2.749 0.278
ATOMIC_POSITIONS crystal
Si 0.647 0.647 0.353
Hg 0.341 0.341 0.659
Al 0.012 0.012 0.988